# LaB2IrPt GGA-PBE optimized geometry
# magnetization: 0.00 μB/f.u.
# ΔH_f (0 K): -0.200 eV per atom
data_LaB2IrPt
_chemical_formula_sum 'La1 B2 Ir1 Pt1'
_symmetry_space_group_name_H-M 'P 4/m m m'
_symmetry_Int_Tables_number 123
_symmetry_space_group_name_Hall '-P 4 2'
_cell_length_a 4.076
_cell_length_b 4.076
_cell_length_c 5.386
_cell_angle_alpha 90.00
_cell_angle_beta 90.00
_cell_angle_gamma 90.00
loop_
_atom_site_label
_atom_site_type_symbol
_atom_site_fract_x
_atom_site_fract_y
_atom_site_fract_z
_atom_site_occupancy
La1 La 0.000 0.000 0.000 1
B1 B 0.000 0.500 0.500 1
Ir1 Ir 0.500 0.500 0.500 1
Pt1 Pt 0.500 0.500 0.000 1